The following is a DFT calculation (PBE) of an optimized crystal structure of Ta2TcAgAu.

```
data_Ta2TcAgAu
_chemical_formula_sum 'Ta2 Tc1 Ag1 Au1'
_cell_length_a 4.8286
_cell_length_b 4.8286
_cell_length_c 4.7636
_cell_angle_alpha 90.00
_cell_angle_beta 90.00
_cell_angle_gamma 90.00
_space_group_name_H-M_alt 'P 4/m m m'
_space_group_IT_number 123
_space_group_name_Hall '-P 4 2'
loop_
_atom_site_label
_atom_site_type_symbol
_atom_site_fract_x
_atom_site_fract_y
_atom_site_fract_z
_atom_site_occupancy
Ta1 Ta 0.0000 0.5000 0.0000 1
Tc1 Tc 0.0000 0.0000 0.5000 1
Ag1 Ag 0.0000 0.0000 0.0000 1
Au1 Au 0.5000 0.5000 0.5000 1
```

Summary:
total magnetization: 0.000 μB per atom
E_tot: -29.8 eV per formula unit

The following is a DFT calculation (PBE) of an optimized crystal structure of TaAg2WAu.

```
data_TaAg2WAu
_chemical_formula_sum 'Ta1 Ag2 W1 Au1'
_cell_length_a 4.9222
_cell_length_b 4.9222
_cell_length_c 4.8962
_cell_angle_alpha 90.00
_cell_angle_beta 90.00
_cell_angle_gamma 90.00
_space_group_name_H-M_alt 'P 4/m m m'
_space_group_IT_number 123
_space_group_name_Hall '-P 4 2'
loop_
_atom_site_label
_atom_site_type_symbol
_atom_site_fract_x
_atom_site_fract_y
_atom_site_fract_z
_atom_site_occupancy
Ta1 Ta 0.0000 0.0000 0.0000 1
Ag1 Ag 0.0000 0.5000 0.5000 1
W1 W 0.5000 0.5000 0.5000 1
Au1 Au 0.5000 0.5000 0.0000 1
```

Summary:
total magnetization: 0.000 μB per atom
energy above the most stable polymorph in this dataset: 175 meV per atom

The following is a DFT calculation (PBE) of an optimized crystal structure of TaAg2WAu.

```
data_TaAg2WAu
_chemical_formula_sum 'Ta1 Ag2 W1 Au1'
_cell_length_a 4.8436
_cell_length_b 4.8436
_cell_length_c 4.9634
_cell_angle_alpha 90.00
_cell_angle_beta 90.00
_cell_angle_gamma 90.00
_space_group_name_H-M_alt 'P 4/m m m'
_space_group_IT_number 123
_space_group_name_Hall '-P 4 2'
loop_
_atom_site_label
_atom_site_type_symbol
_atom_site_fract_x
_atom_site_fract_y
_atom_site_fract_z
_atom_site_occupancy
Ta1 Ta 0.0000 0.0000 0.0000 1
Ag1 Ag 0.0000 0.5000 0.5000 1
W1 W 0.5000 0.5000 0.0000 1
Au1 Au 0.5000 0.5000 0.5000 1
```

Summary:
total magnetization: 0.000 μB per atom
energy above the most stable polymorph in this dataset: 0 meV per atom

The following is a DFT calculation (PBE) of an optimized crystal structure of Tb3Ag2Au6.

```
data_Tb3Ag2Au6
_chemical_formula_sum 'Tb6 Ag4 Au12'
_cell_length_a 4.1976
_cell_length_b 4.1976
_cell_length_c 27.4827
_cell_angle_alpha 90.00
_cell_angle_beta 90.00
_cell_angle_gamma 90.00
_space_group_name_H-M_alt 'I 4/m m m'
_space_group_IT_number 139
_space_group_name_Hall '-I 4 2'
loop_
_atom_site_label
_atom_site_type_symbol
_atom_site_fract_x
_atom_site_fract_y
_atom_site_fract_z
_atom_site_occupancy
Tb1 Tb 0.0000 0.0000 0.0000 1
Tb2 Tb 0.0000 0.0000 0.2016 1
Ag1 Ag 0.0000 0.0000 0.4522 1
Au1 Au 0.0000 0.0000 0.3095 1
Au2 Au 0.0000 0.5000 0.1146 1
```

Summary:
total magnetization: 0.000 μB per atom
E_tot: -44.6 eV per formula unit

The following is a DFT calculation (PBE) of an optimized crystal structure of TbAgAu.

```
data_TbAgAu
_chemical_formula_sum 'Tb1 Ag1 Au1'
_cell_length_a 4.7331
_cell_length_b 4.7331
_cell_length_c 3.4449
_cell_angle_alpha 90.00
_cell_angle_beta 90.00
_cell_angle_gamma 120.00
_space_group_name_H-M_alt 'P -6 m 2'
_space_group_IT_number 187
_space_group_name_Hall 'P -6 2'
loop_
_atom_site_label
_atom_site_type_symbol
_atom_site_fract_x
_atom_site_fract_y
_atom_site_fract_z
_atom_site_occupancy
Tb1 Tb 0.0000 0.0000 0.0000 1
Ag1 Ag 0.6667 0.3333 0.5000 1
Au1 Au 0.3333 0.6667 0.5000 1
```

Summary:
total magnetization: 0.000 μB per atom
energy above the most stable polymorph in this dataset: 80 meV per atom

The following is a DFT calculation (PBE) of an optimized crystal structure of TbAgAu.

```
data_TbAgAu
_chemical_formula_sum 'Tb4 Ag4 Au4'
_cell_length_a 4.6808
_cell_length_b 9.5870
_cell_length_c 5.9020
_cell_angle_alpha 90.00
_cell_angle_beta 90.00
_cell_angle_gamma 90.00
_space_group_name_H-M_alt 'C m c m'
_space_group_IT_number 63
_space_group_name_Hall '-C 2c 2'
loop_
_atom_site_label
_atom_site_type_symbol
_atom_site_fract_x
_atom_site_fract_y
_atom_site_fract_z
_atom_site_occupancy
Tb1 Tb 0.0000 0.1938 0.2500 1
Ag1 Ag 0.0000 0.5000 0.0000 1
Au1 Au 0.0000 0.1187 0.7500 1
```

Summary:
total magnetization: 0.000 μB per atom
energy above the most stable polymorph in this dataset: 0 meV per atom

The following is a DFT calculation (PBE) of an optimized crystal structure of Tb4AgAu3.

```
data_Tb4AgAu3
_chemical_formula_sum 'Tb4 Ag1 Au3'
_cell_length_a 5.1345
_cell_length_b 5.1345
_cell_length_c 7.2022
_cell_angle_alpha 90.00
_cell_angle_beta 90.00
_cell_angle_gamma 90.00
_space_group_name_H-M_alt 'P 4/m m m'
_space_group_IT_number 123
_space_group_name_Hall '-P 4 2'
loop_
_atom_site_label
_atom_site_type_symbol
_atom_site_fract_x
_atom_site_fract_y
_atom_site_fract_z
_atom_site_occupancy
Tb1 Tb 0.0000 0.5000 0.2476 1
Ag1 Ag 0.0000 0.0000 0.5000 1
Au1 Au 0.0000 0.0000 0.0000 1
Au2 Au 0.5000 0.5000 0.0000 1
Au3 Au 0.5000 0.5000 0.5000 1
```

Summary:
total magnetization: 0.000 μB per atom
energy above the most stable polymorph in this dataset: 8 meV per atom

The following is a DFT calculation (PBE) of an optimized crystal structure of Tb3Ag5Au12.

```
data_Tb3Ag5Au12
_chemical_formula_sum 'Tb24 Ag40 Au96'
_cell_length_a 16.2108
_cell_length_b 16.2108
_cell_length_c 16.2108
_cell_angle_alpha 90.00
_cell_angle_beta 90.00
_cell_angle_gamma 90.00
_space_group_name_H-M_alt 'I a -3 d'
_space_group_IT_number 230
_space_group_name_Hall '-I 4bd 2c 3'
loop_
_atom_site_label
_atom_site_type_symbol
_atom_site_fract_x
_atom_site_fract_y
_atom_site_fract_z
_atom_site_occupancy
Tb1 Tb 0.0000 0.2500 0.1250 1
Ag1 Ag 0.0000 0.0000 0.0000 1
Ag2 Ag 0.0000 0.2500 0.3750 1
Au1 Au 0.0101 0.0721 0.6516 1
```

Summary:
total magnetization: 0.000 μB per atom
E_tot: -67.0 eV per formula unit

The following is a DFT calculation (PBE) of an optimized crystal structure of TbAgAu.

```
data_TbAgAu
_chemical_formula_sum 'Tb4 Ag4 Au4'
_cell_length_a 6.7140
_cell_length_b 6.7140
_cell_length_c 6.7140
_cell_angle_alpha 90.00
_cell_angle_beta 90.00
_cell_angle_gamma 90.00
_space_group_name_H-M_alt 'F -4 3 m'
_space_group_IT_number 216
_space_group_name_Hall 'F -4 2 3'
loop_
_atom_site_label
_atom_site_type_symbol
_atom_site_fract_x
_atom_site_fract_y
_atom_site_fract_z
_atom_site_occupancy
Tb1 Tb 0.0000 0.0000 0.0000 1
Ag1 Ag 0.0000 0.0000 0.5000 1
Au1 Au 0.2500 0.2500 0.2500 1
```

Summary:
total magnetization: 0.000 μB per atom
energy above the most stable polymorph in this dataset: 162 meV per atom

The following is a DFT calculation (PBE) of an optimized crystal structure of Tb6AgAu2.

```
data_Tb6AgAu2
_chemical_formula_sum 'Tb12 Ag2 Au4'
_cell_length_a 15.8350
_cell_length_b 7.0765
_cell_length_c 5.0151
_cell_angle_alpha 90.00
_cell_angle_beta 108.41
_cell_angle_gamma 90.00
_space_group_name_H-M_alt 'C 1 2/m 1'
_space_group_IT_number 12
_space_group_name_Hall '-C 2y'
loop_
_atom_site_label
_atom_site_type_symbol
_atom_site_fract_x
_atom_site_fract_y
_atom_site_fract_z
_atom_site_occupancy
Tb1 Tb 0.0000 0.2449 0.0000 1
Tb2 Tb 0.1681 0.2474 0.6679 1
Ag1 Ag 0.0000 0.5000 0.5000 1
Au1 Au 0.1666 0.0000 0.1664 1
```

Summary:
total magnetization: 0.000 μB per atom
E_tot: -39.6 eV per formula unit

The following is a DFT calculation (PBE) of an optimized crystal structure of Tb6Ag5Au.

```
data_Tb6Ag5Au
_chemical_formula_sum 'Tb12 Ag10 Au2'
_cell_length_a 5.1708
_cell_length_b 15.5394
_cell_length_c 7.2347
_cell_angle_alpha 90.00
_cell_angle_beta 90.00
_cell_angle_gamma 90.00
_space_group_name_H-M_alt 'C m m m'
_space_group_IT_number 65
_space_group_name_Hall '-C 2 2'
loop_
_atom_site_label
_atom_site_type_symbol
_atom_site_fract_x
_atom_site_fract_y
_atom_site_fract_z
_atom_site_occupancy
Tb1 Tb 0.0000 0.0000 0.2463 1
Tb2 Tb 0.0000 0.3353 0.2491 1
Ag1 Ag 0.0000 0.1667 0.5000 1
Ag2 Ag 0.0000 0.1716 0.0000 1
Ag3 Ag 0.0000 0.5000 0.5000 1
Au1 Au 0.0000 0.5000 0.0000 1
```

Summary:
total magnetization: 0.000 μB per atom
E_tot: -50.2 eV per formula unit

The following is a DFT calculation (PBE) of an optimized crystal structure of TbAg4Au.

```
data_TbAg4Au
_chemical_formula_sum 'Tb4 Ag16 Au4'
_cell_length_a 7.8052
_cell_length_b 7.8052
_cell_length_c 7.8052
_cell_angle_alpha 90.00
_cell_angle_beta 90.00
_cell_angle_gamma 90.00
_space_group_name_H-M_alt 'F -4 3 m'
_space_group_IT_number 216
_space_group_name_Hall 'F -4 2 3'
loop_
_atom_site_label
_atom_site_type_symbol
_atom_site_fract_x
_atom_site_fract_y
_atom_site_fract_z
_atom_site_occupancy
Tb1 Tb 0.0000 0.0000 0.0000 1
Ag1 Ag 0.1247 0.1247 0.6247 1
Au1 Au 0.2500 0.2500 0.2500 1
```

Summary:
total magnetization: 0.000 μB per atom
E_tot: -20.5 eV per formula unit